Entry 1
TiSn2S4: relaxed, PBE-GGA.

Cell and atoms, written as POSCAR:
```
TiSn2S4
1.0
-1.6918 -3.1729 2.9419
3.1731 1.2377 3.1597
-3.9534 4.0748 5.7896
Ti S Sn
1 4 2
direct
0.0000 0.0000 0.0000 Ti
0.0000 0.5000 0.0000 S
0.1696 0.1696 0.6607 S
0.5000 0.0000 0.0000 S
0.8304 0.8304 0.3393 S
0.6477 0.6477 0.7045 Sn
0.3523 0.3523 0.2955 Sn
```



Entry 2
TiSn2S4: relaxed, PBE-GGA.

Cell and atoms, written as POSCAR:
```
TiSn2S4
1.0
-1.1895 -3.0021 -1.2240
1.1388 -1.3039 6.9631
-12.3008 3.7661 2.7171
S Sn Ti
8 4 2
direct
0.5000 0.0000 0.5000 S
0.1962 0.3924 0.8656 S
0.5000 0.0000 0.0000 S
0.8038 0.6076 0.3656 S
0.8038 0.6076 0.1344 S
0.9962 0.9924 0.7500 S
0.1962 0.3924 0.6344 S
0.0038 0.0076 0.2500 S
0.8743 0.7487 0.9252 Sn
0.1257 0.2513 0.4252 Sn
0.8743 0.7487 0.5748 Sn
0.1257 0.2513 0.0748 Sn
0.6250 0.2499 0.7500 Ti
0.3750 0.7501 0.2500 Ti
```



The structure with the greatest stability is entry 2.